# K2AlIn GGA-PBE optimized geometry
data_K2AlIn
_space_group_name_H-M_alt 'F -4 3 m'
_space_group_IT_number 216
_space_group_name_Hall 'F -4 2 3'
_cell_length_a 7.877
_cell_length_b 7.877
_cell_length_c 7.877
_cell_angle_alpha 90.00
_cell_angle_beta 90.00
_cell_angle_gamma 90.00
loop_
_atom_site_label
_atom_site_type_symbol
_atom_site_fract_x
_atom_site_fract_y
_atom_site_fract_z
K1 K 0.000 0.000 0.000
K2 K 0.250 0.250 0.250
Al1 Al 0.000 0.000 0.500
In1 In 0.250 0.250 0.750
# formation enthalpy at 0 K	53	kJ/mol of formula units
# ΔE to the lowest computed polymorph	12.1	kJ/mol of atoms
# total magnetization	0.00	μB per formula unit


# GePb2N GGA-PBE optimized geometry
data_GePb2N
_space_group_name_H-M_alt 'I -4 2 d'
_space_group_IT_number 122
_space_group_name_Hall 'I -4 2bw'
_cell_length_a 5.998
_cell_length_b 5.998
_cell_length_c 11.733
_cell_angle_alpha 90.00
_cell_angle_beta 90.00
_cell_angle_gamma 90.00
loop_
_atom_site_label
_atom_site_type_symbol
_atom_site_fract_x
_atom_site_fract_y
_atom_site_fract_z
Ge1 Ge 0.000 0.000 0.000
Pb1 Pb 0.190 0.250 0.625
N1 N 0.000 0.000 0.500
# ΔE to the lowest computed polymorph	0.0	kJ/mol of atoms
# total magnetization	0.00	μB per formula unit


# Tm7ZnRu4 GGA-PBE optimized geometry
data_Tm7ZnRu4
_space_group_name_H-M_alt 'C 1 2/m 1'
_space_group_IT_number 12
_cell_length_a 13.675
_cell_length_b 5.210
_cell_length_c 9.614
_cell_angle_alpha 90.00
_cell_angle_beta 127.07
_cell_angle_gamma 90.00
loop_
_space_group_symop_operation_xyz
'x,y,z'
'-x,-y,-z'
'-x,y,-z'
'x,-y,z'
'x+1/2,y+1/2,z'
'-x+1/2,-y+1/2,-z'
'-x+1/2,y+1/2,-z'
'x+1/2,-y+1/2,z'
loop_
_atom_site_label
_atom_site_type_symbol
_atom_site_fract_x
_atom_site_fract_y
_atom_site_fract_z
Tm1 Tm 0.000 0.000 0.000
Tm2 Tm 0.074 0.500 0.353
Tm3 Tm 0.174 0.000 0.623
Tm4 Tm 0.216 0.500 0.873
Zn1 Zn 0.000 0.500 0.000
Ru1 Ru 0.066 0.000 0.779
Ru2 Ru 0.202 0.000 0.352
# formation enthalpy at 0 K	-204	kJ/mol of formula units
# total magnetization	0.00	μB per formula unit


# Ag3PdPb GGA-PBE optimized geometry
data_Ag3PdPb
_space_group_name_H-M_alt 'P m -3 m'
_space_group_IT_number 221
_space_group_name_Hall '-P 4 2 3'
_cell_length_a 5.071
_cell_length_b 5.071
_cell_length_c 5.071
_cell_angle_alpha 90.00
_cell_angle_beta 90.00
_cell_angle_gamma 90.00
loop_
_atom_site_label
_atom_site_type_symbol
_atom_site_fract_x
_atom_site_fract_y
_atom_site_fract_z
Ag1 Ag 0.000 0.000 0.500
Pd1 Pd 0.000 0.000 0.000
Pb1 Pb 0.500 0.500 0.500
# formation enthalpy at 0 K	249	kJ/mol of formula units
# ΔE to the lowest computed polymorph	0.0	kJ/mol of atoms
# total magnetization	0.00	μB per formula unit


# ErTh2Sn GGA-PBE optimized geometry
data_ErTh2Sn
_space_group_name_H-M_alt 'R -3 m'
_space_group_IT_number 166
_space_group_name_Hall '-R 3 2"'
_cell_length_a 3.4896
_cell_length_b 3.4896
_cell_length_c 36.8234
_cell_angle_alpha 90.00
_cell_angle_beta 90.00
_cell_angle_gamma 120.00
loop_
_atom_site_label
_atom_site_type_symbol
_atom_site_fract_x
_atom_site_fract_y
_atom_site_fract_z
Er1 Er 0.0000 0.0000 0.0000
Th1 Th 0.0000 0.0000 0.4124
Sn1 Sn 0.0000 0.0000 0.5000
# formation enthalpy at 0 K	58	kJ/mol of formula units
# ΔE to the lowest computed polymorph	47.6	kJ/mol of atoms
# total magnetization	0.00	μB per formula unit


# SnBrN2 GGA-PBE optimized geometry
data_SnBrN2
_space_group_name_H-M_alt 'F m -3 m'
_space_group_IT_number 225
_space_group_name_Hall '-F 4 2 3'
_cell_length_a 6.080
_cell_length_b 6.080
_cell_length_c 6.080
_cell_angle_alpha 90.00
_cell_angle_beta 90.00
_cell_angle_gamma 90.00
loop_
_atom_site_label
_atom_site_type_symbol
_atom_site_fract_x
_atom_site_fract_y
_atom_site_fract_z
Sn1 Sn 0.000 0.000 0.000
Br1 Br 0.000 0.000 0.500
N1 N 0.250 0.250 0.250
# ΔE to the lowest computed polymorph	121.5	kJ/mol of atoms
# total magnetization	0.00	μB per formula unit


# KMn2SnBr8 GGA-PBE optimized geometry
data_KMn2SnBr8
_space_group_name_H-M_alt 'P -3'
_space_group_IT_number 147
_cell_length_a 7.0045
_cell_length_b 7.0045
_cell_length_c 9.9471
_cell_angle_alpha 90.00
_cell_angle_beta 90.00
_cell_angle_gamma 120.00
loop_
_space_group_symop_operation_xyz
'x,y,z'
'-x,-y,-z'
'-y,x-y,z'
'y,-x+y,-z'
'-x+y,-x,z'
'x-y,x,-z'
loop_
_atom_site_label
_atom_site_type_symbol
_atom_site_fract_x
_atom_site_fract_y
_atom_site_fract_z
K1 K 0.0000 0.0000 0.0000
Mn1 Mn 0.3333 0.6667 0.7485
Sn1 Sn 0.0000 0.0000 0.5000
Br1 Br 0.0024 0.6780 0.3231
Br2 Br 0.3333 0.6667 0.9895
# total magnetization	8.95	μB per formula unit
# total energy	-3.94	eV per atom


# LaOsSeBr2 GGA-PBE optimized geometry
data_LaOsSeBr2
_space_group_name_H-M_alt 'P 4/m m m'
_space_group_IT_number 123
_space_group_name_Hall '-P 4 2'
_cell_length_a 5.808
_cell_length_b 5.808
_cell_length_c 5.833
_cell_angle_alpha 90.00
_cell_angle_beta 90.00
_cell_angle_gamma 90.00
loop_
_atom_site_label
_atom_site_type_symbol
_atom_site_fract_x
_atom_site_fract_y
_atom_site_fract_z
La1 La 0.000 0.000 0.000
Os1 Os 0.500 0.500 0.500
Se1 Se 0.000 0.000 0.500
Br1 Br 0.000 0.500 0.000
# ΔE to the lowest computed polymorph	54.7	kJ/mol of atoms
# total magnetization	4.98	μB per formula unit


# LaAlTl2 GGA-PBE optimized geometry
data_LaAlTl2
_space_group_name_H-M_alt 'P 1 2/m 1'
_space_group_IT_number 10
_cell_length_a 3.678
_cell_length_b 5.042
_cell_length_c 6.075
_cell_angle_alpha 90.00
_cell_angle_beta 95.98
_cell_angle_gamma 90.00
loop_
_space_group_symop_operation_xyz
'x,y,z'
'-x,-y,-z'
'-x,y,-z'
'x,-y,z'
loop_
_atom_site_label
_atom_site_type_symbol
_atom_site_fract_x
_atom_site_fract_y
_atom_site_fract_z
La1 La 0.000 0.000 0.000
Al1 Al 0.500 0.000 0.500
Tl1 Tl 0.332 0.500 0.732
# formation enthalpy at 0 K	-44	kJ/mol of formula units
# ΔE to the lowest computed polymorph	15.6	kJ/mol of atoms
# total magnetization	0.20	μB per formula unit


# Gd2InHg GGA-PBE optimized geometry
data_Gd2InHg
_space_group_name_H-M_alt 'R -3 m'
_space_group_IT_number 166
_space_group_name_Hall '-R 3 2"'
_cell_length_a 3.7572
_cell_length_b 3.7572
_cell_length_c 28.5493
_cell_angle_alpha 90.00
_cell_angle_beta 90.00
_cell_angle_gamma 120.00
loop_
_atom_site_label
_atom_site_type_symbol
_atom_site_fract_x
_atom_site_fract_y
_atom_site_fract_z
Gd1 Gd 0.0000 0.0000 0.2484
In1 In 0.0000 0.0000 0.0000
Hg1 Hg 0.0000 0.0000 0.5000
# formation enthalpy at 0 K	-130	kJ/mol of formula units
# ΔE to the lowest computed polymorph	17.3	kJ/mol of atoms
# total magnetization	14.58	μB per formula unit


# MgHgRh GGA-PBE optimized geometry
data_MgHgRh
_space_group_name_H-M_alt 'I m a 2'
_space_group_IT_number 46
_cell_length_a 5.995
_cell_length_b 6.266
_cell_length_c 6.671
_cell_angle_alpha 90.00
_cell_angle_beta 90.00
_cell_angle_gamma 90.00
loop_
_space_group_symop_operation_xyz
'x,y,z'
'-x,-y,z'
'-x+1/2,y,z'
'x+1/2,-y,z'
'x+1/2,y+1/2,z+1/2'
'-x+1/2,-y+1/2,z+1/2'
'-x,y+1/2,z+1/2'
'x,-y+1/2,z+1/2'
loop_
_atom_site_label
_atom_site_type_symbol
_atom_site_fract_x
_atom_site_fract_y
_atom_site_fract_z
Mg1 Mg 0.250 0.249 0.000
Hg1 Hg 0.250 0.749 0.999
Rh1 Rh 0.000 0.000 0.749
# formation enthalpy at 0 K	-74	kJ/mol of formula units
# ΔE to the lowest computed polymorph	0.0	kJ/mol of atoms
# total magnetization	0.00	μB per formula unit


# TbSmDy2Tl2 GGA-PBE optimized geometry
data_TbSmDy2Tl2
_space_group_name_H-M_alt 'P m c 21'
_space_group_IT_number 26
_cell_length_a 5.138
_cell_length_b 10.047
_cell_length_c 6.825
_cell_angle_alpha 90.00
_cell_angle_beta 90.00
_cell_angle_gamma 90.00
loop_
_space_group_symop_operation_xyz
'x,y,z'
'-x,-y,z+1/2'
'-x,y,z'
'x,-y,z+1/2'
loop_
_atom_site_label
_atom_site_type_symbol
_atom_site_fract_x
_atom_site_fract_y
_atom_site_fract_z
Tb1 Tb 0.000 0.189 0.000
Sm1 Sm 0.500 0.042 0.278
Dy1 Dy 0.000 0.458 0.368
Dy2 Dy 0.500 0.317 0.650
Tl1 Tl 0.000 0.138 0.535
Tl2 Tl 0.500 0.367 0.114
# formation enthalpy at 0 K	-156	kJ/mol of formula units
# total magnetization	0.00	μB per formula unit